[1]
The following is a PBE-GGA calculation of a geometry-optimized Ba2SiAu structure, from the Alexandria database. Values from VASP.

The structure in Quantum ESPRESSO input format:
```
&SYSTEM
  ibrav = 0, nat = 4, ntyp = 3
/
ATOMIC_SPECIES
Ba 137.33 Ba.upf
Si 28.09 Si.upf
Au 196.97 Au.upf
CELL_PARAMETERS angstrom
3.9326 0.0000 0.0000
0.0000 3.9326 0.0000
0.0000 0.0000 8.4508
ATOMIC_POSITIONS crystal
Ba 0.0000 0.0000 0.2442
Ba 0.0000 0.0000 0.7558
Si 0.5000 0.5000 0.0000
Au 0.5000 0.5000 0.5000
```

Magnetization   0.000 μB per cell
SG   P4/mmm, No. 123
Raw formation energy   -402 meV per atom
Polymorph energy (0 for the lowest one)   107.2 meV/atom
Density of states at the Fermi level   2.36 states/eV/cell
Crystal system   tetragonal


[2]
The following is a PBE-GGA calculation of a geometry-optimized AlGa2P2 structure, from the Alexandria database. Values from VASP.

The structure in Quantum ESPRESSO input format:
```
&SYSTEM
  ibrav = 0, nat = 5, ntyp = 3
/
ATOMIC_SPECIES
Al 26.98 Al.upf
Ga 69.72 Ga.upf
P 30.97 P.upf
CELL_PARAMETERS angstrom
-2.0148 2.0148 6.3016
2.0148 -2.0148 6.3016
2.0148 2.0148 -6.3016
ATOMIC_POSITIONS crystal
Al 0.0000 0.0000 0.0000
Ga 0.2500 0.7500 0.5000
Ga 0.7500 0.2500 0.5000
P 0.3690 0.3690 0.0000
P 0.6310 0.6310 0.0000
```

Magnetization   0.000 μB per cell
SG   I4/mmm, No. 139
Polymorph energy (0 for the lowest one)   176.5 meV/atom
Density of states at the Fermi level   1.99 states/eV/cell
ΔE_f   0.237 eV per atom
Crystal system   tetragonal


[3]
The following is a PBE-GGA calculation of a geometry-optimized OsRhAu structure, from the Alexandria database. Values from VASP.

The structure in Quantum ESPRESSO input format:
```
&SYSTEM
  ibrav = 0, nat = 3, ntyp = 3
/
ATOMIC_SPECIES
Os 190.23 Os.upf
Rh 102.91 Rh.upf
Au 196.97 Au.upf
CELL_PARAMETERS angstrom
-1.3900 1.3900 6.0120
1.3900 -1.3900 6.0120
1.3900 1.3900 -6.0120
ATOMIC_POSITIONS crystal
Os 0.0000 0.0000 0.0000
Rh 0.3569 0.3569 0.0000
Au 0.6766 0.6766 0.0000
```

Magnetization   0.000 μB per cell
SG   I4mm, No. 107
Polymorph energy (0 for the lowest one)   170.4 meV/atom
Density of states at the Fermi level   2.27 states/eV/cell
ΔE_f   0.260 eV per atom
Crystal system   tetragonal


[4]
The following is a PBE-GGA calculation of a geometry-optimized Tm4AlGa12 structure, from the Alexandria database. Values from VASP.

The structure in Quantum ESPRESSO input format:
```
&SYSTEM
  ibrav = 0, nat = 17, ntyp = 3
/
ATOMIC_SPECIES
Tm 168.93 Tm.upf
Al 26.98 Al.upf
Ga 69.72 Ga.upf
CELL_PARAMETERS angstrom
-4.3324 4.3324 4.3324
4.3324 -4.3324 4.3324
4.3324 4.3324 -4.3324
ATOMIC_POSITIONS crystal
Tm 0.0000 0.0000 0.5000
Tm 0.0000 0.5000 0.0000
Tm 0.5000 0.0000 0.0000
Tm 0.5000 0.5000 0.5000
Al 0.0000 0.0000 0.0000
Ga 0.0000 0.3039 0.3039
Ga 0.0000 0.6961 0.6961
Ga 0.2500 0.5000 0.7500
Ga 0.2500 0.7500 0.5000
Ga 0.3039 0.0000 0.3039
Ga 0.3039 0.3039 0.0000
Ga 0.5000 0.2500 0.7500
Ga 0.5000 0.7500 0.2500
Ga 0.6961 0.0000 0.6961
Ga 0.6961 0.6961 0.0000
Ga 0.7500 0.2500 0.5000
Ga 0.7500 0.5000 0.2500
```

Magnetization   0.000 μB per cell
SG   Im-3m, No. 229
Density of states at the Fermi level   7.34 states/eV/cell
ΔE_f   -0.445 eV per atom
Crystal system   cubic


[5]
The following is a PBE-GGA calculation of a geometry-optimized VMoS4 structure, from the Alexandria database. Values from VASP.

The structure in Quantum ESPRESSO input format:
```
&SYSTEM
  ibrav = 0, nat = 12, ntyp = 3
/
ATOMIC_SPECIES
V 50.94 V.upf
Mo 95.94 Mo.upf
S 32.06 S.upf
CELL_PARAMETERS angstrom
6.4015 0.0000 0.0000
0.0000 5.2230 0.0000
-3.1987 0.0000 5.9952
ATOMIC_POSITIONS crystal
V 0.0000 0.0000 0.0000
V 0.0000 0.5000 0.5000
Mo 0.5000 0.0000 0.0000
Mo 0.5000 0.5000 0.5000
S 0.1740 0.2055 0.3561
S 0.1740 0.2945 0.8561
S 0.3178 0.7082 0.1443
S 0.3178 0.7918 0.6443
S 0.6822 0.2082 0.3557
S 0.6822 0.2918 0.8557
S 0.8260 0.7055 0.1439
S 0.8260 0.7945 0.6439
```

Magnetization   2.281 μB per cell
SG   P2_1/c, No. 14
Raw formation energy   -625 meV per atom
Polymorph energy (0 for the lowest one)   106.8 meV/atom
Density of states at the Fermi level   8.14 states/eV/cell
Crystal system   monoclinic


[6]
The following is a PBE-GGA calculation of a geometry-optimized TmHfMgGa structure, from the Alexandria database. Values from VASP.

The structure in Quantum ESPRESSO input format:
```
&SYSTEM
  ibrav = 0, nat = 4, ntyp = 4
/
ATOMIC_SPECIES
Tm 168.93 Tm.upf
Hf 178.49 Hf.upf
Mg 24.30 Mg.upf
Ga 69.72 Ga.upf
CELL_PARAMETERS angstrom
0.0000 3.4879 3.4879
3.4879 0.0000 3.4879
3.4879 3.4879 0.0000
ATOMIC_POSITIONS crystal
Tm 0.0000 0.0000 0.0000
Hf 0.5000 0.5000 0.5000
Mg 0.7500 0.7500 0.7500
Ga 0.2500 0.2500 0.2500
```

Magnetization   0.000 μB per cell
SG   F-43m, No. 216
Density of states at the Fermi level   3.28 states/eV/cell
ΔE_f   -0.150 eV per atom
Crystal system   cubic


[7]
The following is a PBE-GGA calculation of a geometry-optimized RbBaZr2O structure, from the Alexandria database. Values from VASP.

The structure in Quantum ESPRESSO input format:
```
&SYSTEM
  ibrav = 0, nat = 5, ntyp = 4
/
ATOMIC_SPECIES
Rb 85.47 Rb.upf
Ba 137.33 Ba.upf
Zr 91.22 Zr.upf
O 16.00 O.upf
CELL_PARAMETERS angstrom
4.9085 0.0000 0.0000
0.0000 4.9085 0.0000
0.0000 0.0000 7.3059
ATOMIC_POSITIONS crystal
Rb 0.0000 0.0000 0.0000
Ba 0.0000 0.0000 0.5000
Zr 0.0000 0.5000 0.0000
Zr 0.5000 0.0000 0.0000
O 0.5000 0.5000 0.5000
```

Magnetization   0.801 μB per cell
SG   P4/mmm, No. 123
Raw formation energy   1943 meV per atom
Polymorph energy (0 for the lowest one)   27.3 meV/atom
Density of states at the Fermi level   5.62 states/eV/cell
Crystal system   tetragonal


[8]
The following is a PBE-GGA calculation of a geometry-optimized Ca3ScU3As8 structure, from the Alexandria database. Values from VASP.

The structure in Quantum ESPRESSO input format:
```
&SYSTEM
  ibrav = 0, nat = 15, ntyp = 4
/
ATOMIC_SPECIES
Ca 40.08 Ca.upf
Sc 44.96 Sc.upf
U 238.03 U.upf
As 74.92 As.upf
CELL_PARAMETERS angstrom
7.0998 -4.1018 0.0000
7.0998 4.1018 0.0000
-4.7309 0.0000 6.8243
ATOMIC_POSITIONS crystal
Ca 0.0000 0.0000 0.0000
Ca 0.0000 0.5000 0.0000
Ca 0.5000 0.0000 0.0000
Sc 0.0000 0.0000 0.5000
U 0.0000 0.5000 0.5000
U 0.5000 0.0000 0.5000
U 0.5000 0.5000 0.5000
As 0.2414 0.2414 0.7206
As 0.2409 0.7378 0.7209
As 0.2553 0.2553 0.2673
As 0.2622 0.7591 0.2791
As 0.7378 0.2409 0.7209
As 0.7447 0.7447 0.7327
As 0.7591 0.2622 0.2791
As 0.7585 0.7585 0.2794
```

Magnetization   3.008 μB per cell
SG   C2/m, No. 12
Density of states at the Fermi level   15.38 states/eV/cell
ΔE_f   -0.874 eV per atom
Crystal system   monoclinic